A plane-wave DFT calculation with SCAN was carried out for a crystal of CaMnO3 relaxed with PBEsol.

a b c (Å): 5.2222 5.2778 7.4062
angles (deg): 90.00 90.00 90.00
Last column: nearest neighbours and their distance in Å.
Element x y z (fractional)
O1 0.5736 0.0137 0.7500  2 Mn 1.89
O2 0.7088 0.2901 0.0381  2 Mn 1.90
O3 0.2088 0.2099 0.9619  2 Mn 1.90
O4 0.4264 0.9863 0.2500  2 Mn 1.89
O5 0.2912 0.7099 0.5381  2 Mn 1.90
O6 0.2912 0.7099 0.9619  2 Mn 1.90
O7 0.7088 0.2901 0.4619  2 Mn 1.90
O8 0.0736 0.4863 0.2500  2 Mn 1.89
O9 0.7912 0.7901 0.0381  2 Mn 1.90
O10 0.2088 0.2099 0.5381  2 Mn 1.90
O11 0.9264 0.5137 0.7500  2 Mn 1.89
O12 0.7912 0.7901 0.4619  2 Mn 1.90
Ca1 0.5087 0.5434 0.2500  6 O 2.29-2.52
Ca2 0.0087 0.9566 0.7500  6 O 2.29-2.52
Ca3 0.4913 0.4566 0.7500  6 O 2.29-2.52
Ca4 0.9913 0.0434 0.2500  6 O 2.29-2.52
Mn1 0.5000 0.0000 0.5000  6 O 1.89-1.90
Mn2 0.0000 0.5000 0.5000  6 O 1.89-1.90
Mn3 0.5000 0.0000 0.0000  6 O 1.89-1.90
Mn4 0.0000 0.5000 0.0000  6 O 1.89-1.90

## Properties
ΔE_f (raw)	-2.700	eV/atom
SG	Pnma, No. 62
total DFT energy (no corrections)	-12.023	eV per atom